Entry 1:
The following is a PBE calculation of AcHoCd4 after structural relaxation, from Alexandria.

a b c (Å): 3.5947 5.0803 8.8705
angles (deg): 90.00 90.00 90.00
With the nearest neighbours (Å) after each atom.
Space group Pmmm (No. 47)
One atom of each set of equivalent atoms:
Ac: 0.0000 0.0000 0.0000 (multiplicity 1)  12 Cd 3.50-3.53, 2 Ac 3.59
Ho: 0.0000 0.5000 0.5000 (multiplicity 1)  12 Cd 3.36-3.41, 2 Ho 3.59
Cd: 0.5000 0.0000 0.3425 (multiplicity 2)  3 Cd 2.79-2.92
Cd: 0.5000 0.5000 0.1801 (multiplicity 2)  3 Cd 2.92-3.20

Calculated values
The value obtained for the formation energy is -1.77 eV per formula unit. For the final energy, the calculation gives -2.35 eV/atom. The energy above the most stable polymorph in this dataset is 19 meV/atom.

---

Entry 2:
The following is a PBE calculation of TbN2Cl4 after structural relaxation, from Alexandria.

a b c (Å): 18.8765 4.0106 6.5093
angles (deg): 90.00 108.95 90.00
With the nearest neighbours (Å) after each atom.
Space group C2/m (No. 12)
One atom of each set of equivalent atoms:
Tb: 0.0000 0.0000 0.0000 (multiplicity 2)  6 Cl 2.68-2.69
N: 0.2340 0.5000 0.7361 (multiplicity 4)  5 Cl 3.71-3.78, 6 N 3.85-4.01
Cl: 0.0585 0.0000 0.6750 (multiplicity 4)  1 Cl 2.61, 1 Tb 2.69
Cl: 0.0934 0.5000 0.1811 (multiplicity 4)  2 Tb 2.68

Calculated values
The calculation puts the formation energy without anion corrections at 0.301 eV per atom. For the final energy, the calculation gives -3.79 eV/atom.